The following is a GGA-PBEsol calculation of crystalline LaRuNF2 at its relaxed geometry, from Alexandria via LeMat-Bulk.

Cell lengths 3.8033, 4.2663, 4.2663 Å; angles 90.00, 90.00, 90.00 degrees
Last column: nearest neighbours and their distance in Å.
Fractional positions:
La (0.5000, 0.5000, 0.5000)  8 F 2.86, 4 N 3.02
N (0.5000, 0.0000, 0.0000)  2 Ru 1.90
F (0.0000, 0.0000, 0.5000)  2 Ru 2.13
F (0.0000, 0.5000, 0.0000)  2 Ru 2.13
Ru (0.0000, 0.0000, 0.0000)  2 N 1.90

## Properties
crystal system	tetragonal


The following is a GGA-PBEsol calculation of crystalline LaSN2F at its relaxed geometry, from Alexandria via LeMat-Bulk.

Cell lengths 3.7850, 3.7850, 4.1922 Å; angles 90.00, 90.00, 90.00 degrees
Last column: nearest neighbours and their distance in Å.
Fractional positions:
S (0.0000, 0.0000, 0.0000)  4 N 1.89, 2 F 2.10
La (0.5000, 0.5000, 0.5000)  4 F 2.68, 8 N 2.82
N (0.5000, 0.0000, 0.0000)  2 S 1.89
N (0.0000, 0.5000, 0.0000)  2 S 1.89
F (0.0000, 0.0000, 0.5000)  2 S 2.10

## Properties
crystal system	tetragonal


The following is a GGA-PBEsol calculation of crystalline LaSbN2F at its relaxed geometry, from Alexandria via LeMat-Bulk.

Cell lengths 4.3937, 4.5679, 4.5679 Å; angles 90.00, 90.00, 90.00 degrees
Last column: nearest neighbours and their distance in Å.
Fractional positions:
La (0.0000, 0.0000, 0.0000)  2 F 2.20, 4 N 2.28
F (0.5000, 0.0000, 0.0000)  2 La 2.20
N (0.0000, 0.5000, 0.0000)  2 La 2.28
N (0.0000, 0.0000, 0.5000)  2 La 2.28
Sb (0.5000, 0.5000, 0.5000)  8 N 3.17, 4 F 3.23

## Properties
distance to the lowest polymorph of the same formula	0.7130	eV/atom
crystal system	tetragonal


The following is a GGA-PBEsol calculation of crystalline LaSbN2F at its relaxed geometry, from Alexandria via LeMat-Bulk.

Cell lengths 4.1721, 4.2163, 4.2163 Å; angles 90.00, 90.00, 90.00 degrees
Last column: nearest neighbours and their distance in Å.
Fractional positions:
N (0.0000, 0.0000, 0.5000)  2 Sb 2.11
N (0.0000, 0.5000, 0.0000)  2 Sb 2.11
La (0.5000, 0.5000, 0.5000)  8 N 2.97, 4 F 2.98
F (0.5000, 0.0000, 0.0000)  2 Sb 2.09
Sb (0.0000, 0.0000, 0.0000)  2 F 2.09, 4 N 2.11

## Properties
distance to the lowest polymorph of the same formula	0.0000	eV/atom
crystal system	tetragonal


The following is a GGA-PBEsol calculation of crystalline La3SiN4F at its relaxed geometry, from Alexandria via LeMat-Bulk.

Cell lengths 6.8168, 7.6945, 9.8389 Å; angles 90.00, 90.00, 90.00 degrees
Last column: nearest neighbours and their distance in Å.
Fractional positions:
La (0.9011, 0.9745, 0.6626)  5 N 2.54-2.77, 2 F 2.70-2.75
La (0.5870, 0.2500, 0.4677)  5 N 2.37-2.65, 1 F 2.60
La (0.0989, 0.4745, 0.3374)  5 N 2.54-2.77, 2 F 2.70-2.75
La (0.4011, 0.0255, 0.8374)  5 N 2.54-2.77, 2 F 2.70-2.75
La (0.5989, 0.5255, 0.1626)  5 N 2.54-2.77, 2 F 2.70-2.75
La (0.0870, 0.7500, 0.0323)  5 N 2.37-2.65, 1 F 2.60
La (0.4130, 0.7500, 0.5323)  5 N 2.37-2.65, 1 F 2.60
La (0.5989, 0.9745, 0.1626)  5 N 2.54-2.77, 2 F 2.70-2.75
La (0.4011, 0.4745, 0.8374)  5 N 2.54-2.77, 2 F 2.70-2.75
La (0.0989, 0.0255, 0.3374)  5 N 2.54-2.77, 2 F 2.70-2.75
La (0.9130, 0.2500, 0.9677)  5 N 2.37-2.65, 1 F 2.60
La (0.9011, 0.5255, 0.6626)  5 N 2.54-2.77, 2 F 2.70-2.75
F (0.1610, 0.7500, 0.7731)  5 La 2.60-2.75, 1 N 2.91
F (0.8390, 0.2500, 0.2269)  5 La 2.60-2.75, 1 N 2.91
F (0.6610, 0.2500, 0.7269)  5 La 2.60-2.75, 1 N 2.91
F (0.3390, 0.7500, 0.2731)  5 La 2.60-2.75, 1 N 2.91
N (0.1278, 0.2500, 0.7787)  1 Si 1.75
N (0.8722, 0.7500, 0.2213)  1 Si 1.75
N (0.6907, 0.9457, 0.4230)  1 Si 1.73
N (0.8093, 0.9457, 0.9230)  1 Si 1.73
N (0.3722, 0.2500, 0.2787)  1 Si 1.75
N (0.3093, 0.0543, 0.5770)  1 Si 1.73
N (0.4764, 0.7500, 0.9932)  1 Si 1.76
N (0.0236, 0.7500, 0.4932)  1 Si 1.76
N (0.6278, 0.7500, 0.7213)  1 Si 1.75
N (0.1907, 0.4457, 0.0770)  1 Si 1.73
N (0.5236, 0.2500, 0.0068)  1 Si 1.76
N (0.3093, 0.4457, 0.5770)  1 Si 1.73
N (0.9764, 0.2500, 0.5068)  1 Si 1.76
N (0.6907, 0.5543, 0.4230)  1 Si 1.73
N (0.1907, 0.0543, 0.0770)  1 Si 1.73
N (0.8093, 0.5543, 0.9230)  1 Si 1.73
Si (0.3091, 0.2500, 0.1061)  4 N 1.73-1.76
Si (0.1909, 0.2500, 0.6061)  4 N 1.73-1.76
Si (0.8091, 0.7500, 0.3939)  4 N 1.73-1.76
Si (0.6909, 0.7500, 0.8939)  4 N 1.73-1.76

## Properties
crystal system	orthorhombic


The following is a GGA-PBEsol calculation of crystalline LaSiN2F at its relaxed geometry, from Alexandria via LeMat-Bulk.

Cell lengths 3.7461, 3.7461, 3.8356 Å; angles 90.00, 90.00, 90.00 degrees
Last column: nearest neighbours and their distance in Å.
Fractional positions:
La (0.5000, 0.5000, 0.5000)  4 F 2.65, 8 N 2.68
N (0.0000, 0.5000, 0.0000)  2 Si 1.87
N (0.5000, 0.0000, 0.0000)  2 Si 1.87
F (0.0000, 0.0000, 0.5000)  2 Si 1.92
Si (0.0000, 0.0000, 0.0000)  4 N 1.87, 2 F 1.92

## Properties
crystal system	tetragonal


The following is a GGA-PBEsol calculation of crystalline LaZnN2F at its relaxed geometry, from Alexandria via LeMat-Bulk.

Cell lengths 4.4211, 4.4211, 4.5001 Å; angles 90.00, 90.00, 90.00 degrees
Last column: nearest neighbours and their distance in Å.
Fractional positions:
La (0.0000, 0.0000, 0.0000)  4 N 2.21, 2 F 2.25
N (0.0000, 0.5000, 0.0000)  2 La 2.21
N (0.5000, 0.0000, 0.0000)  2 La 2.21
F (0.0000, 0.0000, 0.5000)  2 La 2.25
Zn (0.5000, 0.5000, 0.5000)  4 F 3.13, 8 N 3.15

## Properties
crystal system	tetragonal


The following is a GGA-PBEsol calculation of crystalline Na3LaF at its relaxed geometry, from Alexandria via LeMat-Bulk.

Cell lengths 5.0911, 5.0911, 5.0911 Å; angles 90.00, 90.00, 90.00 degrees
Last column: nearest neighbours and their distance in Å.
Fractional positions:
La (0.5000, 0.5000, 0.5000)  12 Na 3.60
Na (0.0000, 0.5000, 0.0000)  2 F 2.55
Na (0.0000, 0.0000, 0.5000)  2 F 2.55
Na (0.5000, 0.0000, 0.0000)  2 F 2.55
F (0.0000, 0.0000, 0.0000)  6 Na 2.55

## Properties
crystal system	cubic


| no. | formation energy without anion corrections (eV/atom) | DOS at the Fermi energy (states/eV/cell) |
| --- | --- | --- |
| 1 | -1.320 | 3.045 |
| 2 | -0.581 | 1.526 |
| 3 | -0.124 | 3.234 |
| 4 | -0.837 | 0.931 |
| 5 | -1.942 | 0.000 |
| 6 | -1.650 | 0.421 |
| 7 | 0.047 | 2.226 |
| 8 | -0.519 | 4.315 |